# 1
Below is Na3GaTe3 after structural relaxation, with properties calculated at the PBE-GGA level.

Values from the calculation:
energy above the most stable polymorph in this dataset: 0 meV per atom

a b c (Å): 9.118 8.077 12.327
angles (deg): 90.00 98.90 90.00
Fractional positions:
Na1 0.087 0.183 0.108
Na2 0.087 0.317 0.608
Na3 0.296 0.749 0.289
Na4 0.296 0.751 0.789
Na5 0.412 0.245 0.418
Na6 0.412 0.255 0.918
Na7 0.588 0.745 0.082
Na8 0.588 0.755 0.582
Na9 0.704 0.249 0.211
Na10 0.704 0.251 0.711
Na11 0.913 0.683 0.392
Na12 0.913 0.817 0.892
Ga1 0.180 0.585 0.049
Ga2 0.180 0.915 0.549
Ga3 0.820 0.085 0.451
Ga4 0.820 0.415 0.951
Te1 0.073 0.066 0.358
Te2 0.073 0.434 0.858
Te3 0.258 0.609 0.522
Te4 0.258 0.891 0.022
Te5 0.389 0.086 0.667
Te6 0.389 0.414 0.167
Te7 0.611 0.586 0.833
Te8 0.611 0.914 0.333
Te9 0.742 0.109 0.978
Te10 0.742 0.391 0.478
Te11 0.927 0.566 0.142
Te12 0.927 0.934 0.642



# 2
Below is NaGa2Te4 after structural relaxation, with properties calculated at the PBE-GGA level.

Values from the calculation:
DOS(E_F): 4.26 states/eV/cell
energy above the most stable polymorph in this dataset: 3 meV per atom

a b c (Å): 6.681 6.681 6.681
angles (deg): 105.38 105.38 118.01
Fractional positions:
Na1 0.000 0.000 0.000
Ga1 0.000 0.500 0.500
Ga2 0.500 0.000 0.500
Te1 0.072 0.928 0.500
Te2 0.428 0.572 0.500
Te3 0.572 0.072 0.144
Te4 0.928 0.428 0.856



# 3
Below is Na3GaTe3 after structural relaxation, with properties calculated at the PBE-GGA level.

Values from the calculation:
energy above the most stable polymorph in this dataset: 23 meV per atom

a b c (Å): 8.177 8.177 7.708
angles (deg): 94.45 94.45 114.98
Fractional positions:
Na1 0.171 0.829 0.000
Na2 0.236 0.764 0.500
Na3 0.413 0.413 0.154
Na4 0.587 0.587 0.846
Na5 0.764 0.236 0.500
Na6 0.829 0.171 0.000
Ga1 0.185 0.185 0.641
Ga2 0.815 0.815 0.359
Te1 0.110 0.110 0.290
Te2 0.152 0.468 0.776
Te3 0.468 0.152 0.776
Te4 0.532 0.848 0.224
Te5 0.848 0.532 0.224
Te6 0.890 0.890 0.710



# 4
Below is Na2GaTe3 after structural relaxation, with properties calculated at the PBE-GGA level.

Values from the calculation:
DOS(E_F): 8.93 states/eV/cell

a b c (Å): 8.845 8.845 6.449
angles (deg): 90.00 90.00 58.52
Fractional positions:
Na1 0.040 0.298 0.000
Na2 0.298 0.040 0.500
Na3 0.702 0.960 0.000
Na4 0.960 0.702 0.500
Ga1 0.363 0.637 0.112
Ga2 0.637 0.363 0.612
Te1 0.087 0.623 0.997
Te2 0.335 0.665 0.523
Te3 0.377 0.913 0.997
Te4 0.623 0.087 0.497
Te5 0.665 0.335 0.023
Te6 0.913 0.377 0.497



# 5
Below is Na2Ga2Te after structural relaxation, with properties calculated at the PBE-GGA level.

Values from the calculation:
DOS(E_F): 0.82 states/eV/cell
energy above the most stable polymorph in this dataset: 96 meV per atom

a b c (Å): 7.395 7.395 7.395
angles (deg): 144.92 144.92 50.45
Fractional positions:
Na1 0.250 0.750 0.500
Na2 0.750 0.250 0.500
Ga1 0.090 0.090 0.000
Ga2 0.910 0.910 0.000
Te1 0.500 0.500 0.000



# 6
Below is NaGa2Te2 after structural relaxation, with properties calculated at the PBE-GGA level.

Values from the calculation:
DOS(E_F): 1.56 states/eV/cell
energy above the most stable polymorph in this dataset: 32 meV per atom

a b c (Å): 7.317 7.317 6.359
angles (deg): 97.81 97.81 110.25
Fractional positions:
Na1 0.181 0.819 0.000
Na2 0.819 0.181 0.000
Ga1 0.257 0.257 0.649
Ga2 0.389 0.611 0.500
Ga3 0.611 0.389 0.500
Ga4 0.743 0.743 0.351
Te1 0.157 0.843 0.500
Te2 0.286 0.286 0.073
Te3 0.714 0.714 0.927
Te4 0.843 0.157 0.500



# 7
Below is Na2Ga2Te3 after structural relaxation, with properties calculated at the PBE-GGA level.

Values from the calculation:
DOS(E_F): 1.64 states/eV/cell

a b c (Å): 8.065 8.523 7.590
angles (deg): 90.00 114.59 90.00
Fractional positions:
Na1 0.102 0.166 0.396
Na2 0.102 0.334 0.896
Na3 0.898 0.666 0.104
Na4 0.898 0.834 0.604
Ga1 0.341 0.617 0.554
Ga2 0.341 0.883 0.054
Ga3 0.659 0.117 0.946
Ga4 0.659 0.383 0.446
Te1 0.000 0.000 0.000
Te2 0.000 0.500 0.500
Te3 0.375 0.572 0.197
Te4 0.375 0.928 0.697
Te5 0.625 0.072 0.303
Te6 0.625 0.428 0.803



# 8
Below is NaGa2Te2 after structural relaxation, with properties calculated at the PBE-GGA level.

Values from the calculation:
DOS(E_F): 2.29 states/eV/cell
energy above the most stable polymorph in this dataset: 109 meV per atom

a b c (Å): 8.257 8.257 8.257
angles (deg): 149.92 149.92 43.06
Fractional positions:
Na1 0.000 0.000 0.000
Ga1 0.250 0.750 0.500
Ga2 0.750 0.250 0.500
Te1 0.400 0.400 0.000
Te2 0.600 0.600 0.000



# 9
Below is NaGa2Te2 after structural relaxation, with properties calculated at the PBE-GGA level.

Values from the calculation:
DOS(E_F): 4.43 states/eV/cell
energy above the most stable polymorph in this dataset: 97 meV per atom

a b c (Å): 8.365 8.365 3.997
angles (deg): 90.00 90.00 90.00
Fractional positions:
Na1 0.000 0.000 0.000
Na2 0.500 0.500 0.000
Ga1 0.128 0.372 0.500
Ga2 0.372 0.872 0.500
Ga3 0.628 0.128 0.500
Ga4 0.872 0.628 0.500
Te1 0.170 0.670 0.000
Te2 0.330 0.170 0.000
Te3 0.670 0.830 0.000
Te4 0.830 0.330 0.000



# 10
Below is Na3Ga5Te12 after structural relaxation, with properties calculated at the PBE-GGA level.

Values from the calculation:
DOS(E_F): 61.64 states/eV/cell

a b c (Å): 14.891 14.891 14.891
angles (deg): 109.47 109.47 109.47
Fractional positions:
Na1 0.125 0.250 0.375
Na2 0.125 0.375 0.750
Na3 0.250 0.375 0.125
Na4 0.250 0.875 0.625
Na5 0.375 0.125 0.250
Na6 0.375 0.750 0.125
Na7 0.625 0.250 0.875
Na8 0.625 0.875 0.750
Na9 0.750 0.125 0.375
Na10 0.750 0.625 0.875
Na11 0.875 0.625 0.250
Na12 0.875 0.750 0.625
Ga1 0.000 0.000 0.000
Ga2 0.000 0.000 0.500
Ga3 0.000 0.500 0.000
Ga4 0.000 0.500 0.500
Ga5 0.125 0.750 0.875
Ga6 0.125 0.875 0.250
Ga7 0.250 0.125 0.875
Ga8 0.250 0.625 0.375
Ga9 0.375 0.250 0.625
Ga10 0.375 0.625 0.750
Ga11 0.500 0.000 0.000
Ga12 0.500 0.000 0.500
Ga13 0.500 0.500 0.000
Ga14 0.500 0.500 0.500
Ga15 0.625 0.375 0.250
Ga16 0.625 0.750 0.375
Ga17 0.750 0.375 0.625
Ga18 0.750 0.875 0.125
Ga19 0.875 0.125 0.750
Ga20 0.875 0.250 0.125
Te1 0.036 0.213 0.116
Te2 0.036 0.323 0.920
Te3 0.080 0.616 0.402
Te4 0.080 0.964 0.677
Te5 0.098 0.713 0.677
Te6 0.098 0.884 0.420
Te7 0.116 0.036 0.213
Te8 0.116 0.580 0.902
Te9 0.177 0.213 0.598
Te10 0.177 0.464 0.580
Te11 0.213 0.116 0.036
Te12 0.213 0.598 0.177
Te13 0.287 0.323 0.902
Te14 0.287 0.464 0.384
Te15 0.323 0.902 0.287
Te16 0.323 0.920 0.036
Te17 0.384 0.287 0.464
Te18 0.384 0.598 0.920
Te19 0.402 0.080 0.616
Te20 0.402 0.823 0.787
Te21 0.420 0.098 0.884
Te22 0.420 0.823 0.536
Te23 0.464 0.384 0.287
Te24 0.464 0.580 0.177
Te25 0.536 0.420 0.823
Te26 0.536 0.616 0.713
Te27 0.580 0.177 0.464
Te28 0.580 0.902 0.116
Te29 0.598 0.177 0.213
Te30 0.598 0.920 0.384
Te31 0.616 0.402 0.080
Te32 0.616 0.713 0.536
Te33 0.677 0.080 0.964
Te34 0.677 0.098 0.713
Te35 0.713 0.536 0.616
Te36 0.713 0.677 0.098
Te37 0.787 0.402 0.823
Te38 0.787 0.884 0.964
Te39 0.823 0.536 0.420
Te40 0.823 0.787 0.402
Te41 0.884 0.420 0.098
Te42 0.884 0.964 0.787
Te43 0.902 0.116 0.580
Te44 0.902 0.287 0.323
Te45 0.920 0.036 0.323
Te46 0.920 0.384 0.598
Te47 0.964 0.677 0.080
Te48 0.964 0.787 0.884



# 11
Below is NaGa2Te2 after structural relaxation, with properties calculated at the PBE-GGA level.

Values from the calculation:
DOS(E_F): 0.86 states/eV/cell
energy above the most stable polymorph in this dataset: 0 meV per atom

a b c (Å): 5.941 5.941 5.941
angles (deg): 124.55 124.55 82.28
Fractional positions:
Na1 0.000 0.000 0.000
Ga1 0.354 0.354 0.000
Ga2 0.646 0.646 0.000
Te1 0.250 0.750 0.500
Te2 0.750 0.250 0.500



# 12
Below is NaGaTe after structural relaxation, with properties calculated at the PBE-GGA level.

Values from the calculation:
energy above the most stable polymorph in this dataset: 0 meV per atom

a b c (Å): 7.283 6.282 8.175
angles (deg): 90.00 90.38 90.00
Fractional positions:
Na1 0.182 0.117 0.191
Na2 0.182 0.383 0.691
Na3 0.818 0.617 0.309
Na4 0.818 0.883 0.809
Ga1 0.491 0.693 0.057
Ga2 0.491 0.807 0.557
Ga3 0.509 0.193 0.443
Ga4 0.509 0.307 0.943
Te1 0.251 0.621 0.326
Te2 0.251 0.879 0.826
Te3 0.749 0.121 0.174
Te4 0.749 0.379 0.674



Computed E_tot, in the same sequence as the records: -3.075, -3.221, -3.052, -3.022, -2.456, -3.050, -3.069, -2.974, -2.986, -3.052, -3.083, -2.945 eV/atom.